Entry from Alexandria via LeMat-Bulk: CsNa9Tl2 after structural relaxation (PBE).

The structure in POSCAR format:
```
CsNa9Tl2
1.0
3.1440 7.7501 3.8204
-3.3202 1.6954 10.3579
9.5981 -1.0462 5.2884
Cs Na Tl
2 18 4
Cartesian
1.5720 3.8751 1.9102 Cs
3.9250 2.2621 8.7783 Cs
5.4970 6.1372 10.6885 Na
0.0000 0.0000 0.0000 Na
3.5002 1.0204 13.2362 Na
4.8014 4.6171 4.8691 Na
7.1225 5.0863 7.5396 Na
2.7511 4.4263 12.4760 Na
5.0877 6.4423 14.3493 Na
3.8826 0.8437 4.5687 Na
0.1988 1.6544 11.4880 Na
7.1994 1.7565 5.5198 Na
8.2747 5.7659 13.0986 Na
0.6956 1.5200 5.8194 Na
7.9726 0.0046 8.4373 Na
-0.5743 3.4063 8.5704 Na
6.6872 0.3440 11.9856 Na
1.6143 5.2935 6.1198 Na
1.9780 6.1781 9.5585 Na
7.8956 3.3345 10.4571 Na
9.1195 6.4205 9.8986 Tl
2.6604 7.7913 12.4334 Tl
4.3205 6.9436 7.2544 Tl
5.8874 3.3932 13.1674 Tl
```

total magnetic moment = 0.000 μB per formula unit
theoretical density = 2.7 g/cm3
DOS(E_F) = 13.2 states/eV per cell
formation energy = -48 meV per atom